First-principles (PBE) data for crystalline Pm4PdPt3 at its relaxed geometry, as listed in Alexandria.

Values from the calculation:
energy relative to the lowest polymorph listed for this composition = 0.00 kJ/mol of atoms
formation energy from the elements = -1.100 eV/atom

abc: 3.875 4.573 10.817
angles: 90.00 90.00 90.00
Fractional positions:
Pm 0.000 0.000 0.000
Pm 0.000 0.500 0.272
Pm 0.500 0.000 0.495
Pm 0.500 0.500 0.772
Pd 0.000 0.000 0.721
Pt 0.000 0.500 0.549
Pt 0.500 0.000 0.223
Pt 0.500 0.500 0.046

First-principles (PBE) data for crystalline SrTbAg2Se4 at its relaxed geometry, as listed in Alexandria.

Values from the calculation:
uncorrected formation energy = -98.5 kJ/mol of atoms

abc: 7.165 7.419 8.137
angles: 90.00 90.00 90.00
Fractional positions:
Sr 0.000 0.000 0.000
Sr 0.500 0.500 0.500
Tb 0.000 0.000 0.500
Tb 0.500 0.500 0.000
Ag 0.000 0.500 0.191
Ag 0.000 0.500 0.809
Ag 0.500 0.000 0.309
Ag 0.500 0.000 0.691
Se 0.219 0.219 0.700
Se 0.219 0.781 0.300
Se 0.281 0.281 0.200
Se 0.281 0.719 0.800
Se 0.719 0.281 0.800
Se 0.719 0.719 0.200
Se 0.781 0.219 0.300
Se 0.781 0.781 0.700

First-principles (PBE) data for crystalline CsPrTiS4 at its relaxed geometry, as listed in Alexandria.

Values from the calculation:
uncorrected formation energy = -157.3 kJ/mol of atoms

abc: 6.840 6.866 9.601
angles: 90.00 108.00 90.00
Fractional positions:
Cs 0.225 0.250 0.437
Cs 0.775 0.750 0.563
Pr 0.279 0.250 0.953
Pr 0.721 0.750 0.047
Ti 0.273 0.750 0.164
Ti 0.727 0.250 0.836
S 0.071 0.750 0.310
S 0.071 0.750 0.933
S 0.500 0.003 0.197
S 0.500 0.497 0.197
S 0.500 0.503 0.803
S 0.500 0.997 0.803
S 0.929 0.250 0.067
S 0.929 0.250 0.690

First-principles (PBE) data for crystalline Cs2CrCdSb at its relaxed geometry, as listed in Alexandria.

Values from the calculation:
uncorrected formation energy = 21.2 kJ/mol of atoms

abc: 7.534 7.534 5.180
angles: 90.00 90.00 90.00
Fractional positions:
Cs 0.000 0.500 0.000
Cs 0.500 0.000 0.000
Cr 0.000 0.000 0.500
Cd 0.500 0.500 0.500
Sb 0.000 0.000 0.000

First-principles (PBE) data for crystalline NdErTh2Se4 at its relaxed geometry, as listed in Alexandria.

Values from the calculation:
uncorrected formation energy = -157.8 kJ/mol of atoms

abc: 7.077 4.126 7.420
angles: 90.00 108.83 90.00
Fractional positions:
Nd 0.000 0.000 0.000
Er 0.500 0.500 0.000
Th 0.000 0.500 0.500
Th 0.500 0.000 0.500
Se 0.256 0.500 0.242
Se 0.262 0.000 0.764
Se 0.738 0.000 0.236
Se 0.744 0.500 0.758

First-principles (PBE) data for crystalline K2NaCd2 at its relaxed geometry, as listed in Alexandria.

Values from the calculation:
energy relative to the lowest polymorph listed for this composition = 0.00 kJ/mol of atoms
formation energy from the elements = -0.053 eV/atom

abc: 5.595 6.319 11.162
angles: 90.00 90.00 90.00
Fractional positions:
K 0.000 0.000 0.199
K 0.000 0.000 0.801
K 0.500 0.500 0.301
K 0.500 0.500 0.699
Na 0.000 0.500 0.000
Na 0.500 0.000 0.500
Cd 0.000 0.259 0.500
Cd 0.000 0.741 0.500
Cd 0.500 0.241 0.000
Cd 0.500 0.759 0.000

First-principles (PBE) data for crystalline NaLa2Ni at its relaxed geometry, as listed in Alexandria.

Values from the calculation:
energy relative to the lowest polymorph listed for this composition = 25.33 kJ/mol of atoms
formation energy from the elements = 0.174 eV/atom

abc: 7.542 7.542 7.542
angles: 90.00 90.00 90.00
Fractional positions:
Na 0.000 0.000 0.000
Na 0.000 0.500 0.500
Na 0.500 0.000 0.500
Na 0.500 0.500 0.000
La 0.250 0.250 0.250
La 0.250 0.250 0.750
La 0.250 0.750 0.250
La 0.250 0.750 0.750
La 0.750 0.250 0.250
La 0.750 0.250 0.750
La 0.750 0.750 0.250
La 0.750 0.750 0.750
Ni 0.000 0.000 0.500
Ni 0.000 0.500 0.000
Ni 0.500 0.000 0.000
Ni 0.500 0.500 0.500

First-principles (PBE) data for crystalline Na2LiAg2 at its relaxed geometry, as listed in Alexandria.

Values from the calculation:
energy relative to the lowest polymorph listed for this composition = 19.08 kJ/mol of atoms
formation energy from the elements = 0.131 eV/atom

abc: 4.203 4.203 14.198
angles: 90.00 90.00 90.00
Fractional positions:
Na 0.000 0.500 0.250
Na 0.000 0.500 0.750
Na 0.500 0.000 0.250
Na 0.500 0.000 0.750
Li 0.000 0.000 0.000
Li 0.500 0.500 0.500
Ag 0.000 0.000 0.405
Ag 0.000 0.000 0.595
Ag 0.500 0.500 0.095
Ag 0.500 0.500 0.905